# 1
PrMg2Cu6 | PBE | relaxed

abc: 7.3231 7.3231 7.3231
angles: 150.76 124.22 64.21
With the nearest neighbours (Å) after each atom.
Element x y z (fractional)
Pr 0.0000 0.0000 0.0000  12 Cu 2.91-3.23
Mg 0.3673 0.8673 0.5000  10 Cu 2.63-2.86
Mg 0.6327 0.1327 0.5000  10 Cu 2.63-2.86
Cu 0.0103 0.3156 0.6947  4 Cu 2.46-2.67, 1 Mg 2.63
Cu 0.3275 0.5000 0.8275  3 Cu 2.36-2.46
Cu 0.3792 0.6844 0.6947  4 Cu 2.46-2.67, 1 Mg 2.63
Cu 0.6208 0.3156 0.3053  4 Cu 2.46-2.67, 1 Mg 2.63
Cu 0.6725 0.5000 0.1725  3 Cu 2.36-2.46
Cu 0.9897 0.6844 0.3053  4 Cu 2.46-2.67, 1 Mg 2.63

- formation energy (eV/atom) = -0.0041
- total DFT energy (no corrections) (eV per atom) = -3.6203

# 2
PrMgCu10 | PBE | relaxed

abc: 4.0991 5.0137 8.6909
angles: 90.00 90.00 90.00
With the nearest neighbours (Å) after each atom.
Element x y z (fractional)
Pr 0.0000 0.0000 0.0000  18 Cu 2.98-3.27
Mg 0.0000 0.5000 0.5000  6 Cu 2.73-2.84
Cu 0.0000 0.0000 0.3454  7 Cu 2.45-2.69
Cu 0.0000 0.0000 0.6546  7 Cu 2.45-2.69
Cu 0.0000 0.5000 0.1854  6 Cu 2.47-2.61, 1 Mg 2.73
Cu 0.0000 0.5000 0.8146  6 Cu 2.47-2.61, 1 Mg 2.73
Cu 0.5000 0.0000 0.5000  8 Cu 2.45-2.48
Cu 0.5000 0.2510 0.2546  8 Cu 2.47-2.54
Cu 0.5000 0.2510 0.7454  8 Cu 2.47-2.54
Cu 0.5000 0.5000 0.0000  8 Cu 2.54-2.61
Cu 0.5000 0.7490 0.2546  8 Cu 2.47-2.54
Cu 0.5000 0.7490 0.7454  8 Cu 2.47-2.54

- formation energy (eV/atom) = -0.0917
- total DFT energy (no corrections) (eV per atom) = -4.0363

# 3
Pr2MgCu16 | PBE | relaxed

abc: 6.5748 6.5748 6.5748
angles: 82.75 82.75 82.75
With the nearest neighbours (Å) after each atom.
Element x y z (fractional)
Pr 0.0000 0.0000 0.0000  15 Cu 3.08-3.35, 1 Mg 3.32
Pr 0.3055 0.3055 0.3055  19 Cu 3.01-3.34
Mg 0.7398 0.7398 0.7398  7 Cu 2.53-2.74
Cu 0.1488 0.6452 0.6452  9 Cu 2.49-2.61, 1 Mg 2.69
Cu 0.3050 0.3050 0.7992  9 Cu 2.49-2.68
Cu 0.3050 0.7992 0.3050  9 Cu 2.49-2.68
Cu 0.3498 0.6460 0.9409  8 Cu 2.49-2.68
Cu 0.3498 0.9409 0.6460  8 Cu 2.49-2.68
Cu 0.4924 0.9922 0.9922  8 Cu 2.52-2.64, 1 Mg 2.74
Cu 0.5416 0.5416 0.5416  1 Mg 2.53, 6 Cu 2.61-2.64
Cu 0.6452 0.1488 0.6452  9 Cu 2.49-2.61, 1 Mg 2.69
Cu 0.6452 0.6452 0.1488  9 Cu 2.49-2.61, 1 Mg 2.69
Cu 0.6460 0.3498 0.9409  8 Cu 2.49-2.68
Cu 0.6460 0.9409 0.3498  8 Cu 2.49-2.68
Cu 0.7992 0.3050 0.3050  9 Cu 2.49-2.68
Cu 0.9409 0.3498 0.6460  8 Cu 2.49-2.68
Cu 0.9409 0.6460 0.3498  8 Cu 2.49-2.68
Cu 0.9922 0.4924 0.9922  8 Cu 2.52-2.64, 1 Mg 2.74
Cu 0.9922 0.9922 0.4924  8 Cu 2.52-2.64, 1 Mg 2.74

- formation energy (eV/atom) = -0.1152
- total DFT energy (no corrections) (eV per atom) = -4.1516

# 4
Pr3Mg5Cu2 | PBE | relaxed

abc: 10.5805 10.5805 4.3663
angles: 90.00 90.00 90.00
With the nearest neighbours (Å) after each atom.
Element x y z (fractional)
Pr 0.0000 0.0000 0.0000  8 Mg 3.30
Pr 0.1785 0.3215 0.0000  3 Cu 3.10-3.17, 2 Mg 3.45
Pr 0.3215 0.8215 0.0000  3 Cu 3.10-3.17, 2 Mg 3.45
Pr 0.5000 0.5000 0.0000  8 Mg 3.30
Pr 0.6785 0.1785 0.0000  3 Cu 3.10-3.17, 2 Mg 3.45
Pr 0.8215 0.6785 0.0000  3 Cu 3.10-3.17, 2 Mg 3.45
Mg 0.0000 0.5000 0.5000  4 Cu 2.77, 4 Mg 3.00
Mg 0.0652 0.7758 0.5000  2 Cu 2.82, 2 Mg 3.00-3.15
Mg 0.2242 0.0652 0.5000  2 Cu 2.82, 2 Mg 3.00-3.15
Mg 0.2758 0.5652 0.5000  2 Cu 2.82, 2 Mg 3.00-3.15
Mg 0.4348 0.2758 0.5000  2 Cu 2.82, 2 Mg 3.00-3.15
Mg 0.5000 0.0000 0.5000  4 Cu 2.77, 4 Mg 3.00
Mg 0.5652 0.7242 0.5000  2 Cu 2.82, 2 Mg 3.00-3.15
Mg 0.7242 0.4348 0.5000  2 Cu 2.82, 2 Mg 3.00-3.15
Mg 0.7758 0.9348 0.5000  2 Cu 2.82, 2 Mg 3.00-3.15
Mg 0.9348 0.2242 0.5000  2 Cu 2.82, 2 Mg 3.00-3.15
Cu 0.1143 0.6143 0.0000  6 Mg 2.77-2.82, 1 Pr 3.10
Cu 0.3857 0.1143 0.0000  6 Mg 2.77-2.82, 1 Pr 3.10
Cu 0.6143 0.8857 0.0000  6 Mg 2.77-2.82, 1 Pr 3.10
Cu 0.8857 0.3857 0.0000  6 Mg 2.77-2.82, 1 Pr 3.10

- polymorph energy (0 for the lowest one) (meV/atom) = 0.0
- formation energy (eV/atom) = -0.1411
- total DFT energy (no corrections) (eV per atom) = -3.1915

# 5
Pr2Mg2Cu15 | PBE | relaxed

abc: 6.6282 6.6282 6.6282
angles: 82.52 82.52 82.52
With the nearest neighbours (Å) after each atom.
Element x y z (fractional)
Pr 0.1475 0.1475 0.1475  15 Cu 3.06-3.37, 1 Mg 3.20
Pr 0.8525 0.8525 0.8525  15 Cu 3.06-3.37, 1 Mg 3.20
Mg 0.3957 0.3957 0.3957  12 Cu 2.65-2.92, 1 Mg 2.69
Mg 0.6043 0.6043 0.6043  12 Cu 2.65-2.92, 1 Mg 2.69
Cu 0.0000 0.5000 0.5000  8 Cu 2.52-2.53, 2 Mg 2.65
Cu 0.1538 0.1538 0.6543  8 Cu 2.53-2.67, 1 Mg 2.71
Cu 0.1538 0.6543 0.1538  8 Cu 2.53-2.67, 1 Mg 2.71
Cu 0.2032 0.5000 0.7968  8 Cu 2.52-2.67
Cu 0.2032 0.7968 0.5000  8 Cu 2.52-2.67
Cu 0.3457 0.8462 0.8462  8 Cu 2.53-2.67, 1 Mg 2.71
Cu 0.5000 0.0000 0.5000  8 Cu 2.52-2.53, 2 Mg 2.65
Cu 0.5000 0.2032 0.7968  8 Cu 2.52-2.67
Cu 0.5000 0.5000 0.0000  8 Cu 2.52-2.53, 2 Mg 2.65
Cu 0.5000 0.7968 0.2032  8 Cu 2.52-2.67
Cu 0.6543 0.1538 0.1538  8 Cu 2.53-2.67, 1 Mg 2.71
Cu 0.7968 0.2032 0.5000  8 Cu 2.52-2.67
Cu 0.7968 0.5000 0.2032  8 Cu 2.52-2.67
Cu 0.8462 0.3457 0.8462  8 Cu 2.53-2.67, 1 Mg 2.71
Cu 0.8462 0.8462 0.3457  8 Cu 2.53-2.67, 1 Mg 2.71

- formation energy (eV/atom) = -0.1170
- total DFT energy (no corrections) (eV per atom) = -4.0218

# 6
Pr4MgCu2 | PBE | relaxed

abc: 9.0965 9.0965 9.0965
angles: 33.27 33.27 33.27
With the nearest neighbours (Å) after each atom.
Element x y z (fractional)
Pr 0.1189 0.1189 0.1189  3 Mg 3.25, 3 Cu 3.28, 3 Pr 3.56
Pr 0.2886 0.2886 0.2886  4 Cu 2.91-3.07
Pr 0.7114 0.7114 0.7114  4 Cu 2.91-3.07
Pr 0.8811 0.8811 0.8811  3 Mg 3.25, 3 Cu 3.28, 3 Pr 3.56
Mg 0.5000 0.5000 0.5000  2 Cu 2.54
Cu 0.4015 0.4015 0.4015  1 Mg 2.54
Cu 0.5985 0.5985 0.5985  1 Mg 2.54

- formation energy (eV/atom) = 0.0553
- total DFT energy (no corrections) (eV per atom) = -4.0740

# 7
Pr2Mg6Cu3 | PBE | relaxed

abc: 8.7168 8.7168 3.7832
angles: 90.00 90.00 120.00
With the nearest neighbours (Å) after each atom.
Element x y z (fractional)
Pr 0.3333 0.6667 0.0000  6 Cu 3.28, 9 Mg 3.56-3.63
Pr 0.6667 0.3333 0.0000  6 Cu 3.28, 9 Mg 3.56-3.63
Mg 0.0000 0.3094 0.5000  1 Cu 2.57
Mg 0.0000 0.8000 0.0000  2 Cu 2.55
Mg 0.2000 0.2000 0.0000  2 Cu 2.55
Mg 0.3094 0.0000 0.5000  1 Cu 2.57
Mg 0.6906 0.6906 0.5000  1 Cu 2.57
Mg 0.8000 0.0000 0.0000  2 Cu 2.55
Cu 0.0000 0.6042 0.5000  3 Mg 2.55-2.57
Cu 0.3958 0.3958 0.5000  3 Mg 2.55-2.57
Cu 0.6042 0.0000 0.5000  3 Mg 2.55-2.57

- formation energy (eV/atom) = -0.0427
- total DFT energy (no corrections) (eV per atom) = -2.8986

# 8
PrMg7Cu5 | PBE | relaxed

abc: 7.1844 7.1844 7.1844
angles: 136.50 97.86 97.93
With the nearest neighbours (Å) after each atom.
Element x y z (fractional)
Pr 0.0000 0.0000 0.0000  8 Mg 3.12-3.34, 6 Cu 3.29-3.43
Mg 0.2168 0.5110 0.7058  5 Cu 2.67-2.82, 3 Mg 2.91-2.98
Mg 0.2402 0.7402 0.5000  4 Cu 2.76, 4 Mg 2.87-2.91
Mg 0.3536 0.3536 0.0000  5 Mg 2.87-3.15, 4 Cu 2.88
Mg 0.3758 0.0304 0.3453  5 Cu 2.76-2.95, 3 Mg 2.92-2.98
Mg 0.6693 0.6693 0.0000  6 Cu 2.82-2.91, 3 Mg 2.98-3.15, 1 Pr 3.12
Mg 0.6851 0.0304 0.6547  5 Cu 2.76-2.95, 3 Mg 2.92-2.98
Mg 0.8052 0.5110 0.2942  5 Cu 2.67-2.82, 3 Mg 2.91-2.98
Cu 0.0139 0.0165 0.4913  3 Cu 2.63-2.69, 6 Mg 2.67-2.88
Cu 0.0139 0.5226 0.9974  3 Cu 2.63-2.69, 6 Mg 2.67-2.88
Cu 0.5252 0.0165 0.0026  3 Cu 2.63-2.69, 6 Mg 2.67-2.88
Cu 0.5252 0.5226 0.5087  3 Cu 2.63-2.69, 6 Mg 2.67-2.88
Cu 0.7944 0.2944 0.5000  4 Cu 2.68, 6 Mg 2.82-2.91

- formation energy (eV/atom) = -0.1097
- total DFT energy (no corrections) (eV per atom) = -2.9114

# 9
Pr2MgCu2Pt5 | PBE | relaxed

abc: 9.5892 9.5892 3.9584
angles: 90.00 90.00 90.00
With the nearest neighbours (Å) after each atom.
Element x y z (fractional)
Pr 0.1779 0.3221 0.0000  3 Cu 2.76-2.90
Pr 0.3221 0.8221 0.0000  3 Cu 2.76-2.90
Pr 0.6779 0.1779 0.0000  3 Cu 2.76-2.90
Pr 0.8221 0.6779 0.0000  3 Cu 2.76-2.90
Mg 0.0000 0.0000 0.0000  8 Pt 2.88
Mg 0.5000 0.5000 0.0000  8 Pt 2.88
Cu 0.1189 0.6189 0.0000  6 Pt 2.55-2.63, 1 Pr 2.76
Cu 0.3811 0.1189 0.0000  6 Pt 2.55-2.63, 1 Pr 2.76
Cu 0.6189 0.8811 0.0000  6 Pt 2.55-2.63, 1 Pr 2.76
Cu 0.8811 0.3811 0.0000  6 Pt 2.55-2.63, 1 Pr 2.76
Pt 0.0000 0.5000 0.5000  4 Cu 2.55
Pt 0.0672 0.7926 0.5000  2 Cu 2.63, 2 Mg 2.88, 1 Pt 2.88
Pt 0.2074 0.0672 0.5000  2 Cu 2.63, 2 Mg 2.88, 1 Pt 2.88
Pt 0.2926 0.5672 0.5000  2 Cu 2.63, 2 Mg 2.88, 1 Pt 2.88
Pt 0.4328 0.2926 0.5000  2 Cu 2.63, 2 Mg 2.88, 1 Pt 2.88
Pt 0.5000 0.0000 0.5000  4 Cu 2.55
Pt 0.5672 0.7074 0.5000  2 Cu 2.63, 2 Mg 2.88, 1 Pt 2.88
Pt 0.7074 0.4328 0.5000  2 Cu 2.63, 2 Mg 2.88, 1 Pt 2.88
Pt 0.7926 0.9328 0.5000  2 Cu 2.63, 2 Mg 2.88, 1 Pt 2.88
Pt 0.9328 0.2074 0.5000  2 Cu 2.63, 2 Mg 2.88, 1 Pt 2.88

- formation energy (eV/atom) = -0.7589
- total DFT energy (no corrections) (eV per atom) = -5.7139

# 10
PrMgCuRh | PBE | relaxed

abc: 4.8304 4.8304 4.8304
angles: 60.00 60.00 60.00
With the nearest neighbours (Å) after each atom.
Element x y z (fractional)
Pr 0.0000 0.0000 0.0000  4 Cu 2.96, 4 Rh 2.96
Mg 0.5000 0.5000 0.5000  4 Rh 2.96, 4 Cu 2.96
Cu 0.2500 0.2500 0.2500  4 Pr 2.96, 4 Mg 2.96
Rh 0.7500 0.7500 0.7500  4 Pr 2.96, 4 Mg 2.96

- formation energy (eV/atom) = -0.2965
- total DFT energy (no corrections) (eV per atom) = -4.7519

# 11
PrMg2CuS4 | PBE | relaxed

abc: 6.5509 6.5509 12.8699
angles: 90.00 90.00 146.04
With the nearest neighbours (Å) after each atom.
Element x y z (fractional)
Pr 0.1195 0.8805 0.7500  6 S 2.86-2.92
Pr 0.8805 0.1195 0.2500  6 S 2.86-2.92
Mg 0.3740 0.6260 0.5566  6 S 2.54-2.76
Mg 0.3740 0.6260 0.9434  6 S 2.54-2.76
Mg 0.6260 0.3740 0.0566  6 S 2.54-2.76
Mg 0.6260 0.3740 0.4434  6 S 2.54-2.76
Cu 0.1498 0.8502 0.2500  4 S 2.29-2.32
Cu 0.8502 0.1498 0.7500  4 S 2.29-2.32
S 0.0000 0.0000 0.0000  4 Mg 2.59
S 0.0000 0.0000 0.5000  4 Mg 2.59
S 0.2728 0.7272 0.1148  1 Cu 2.32, 1 Mg 2.54
S 0.2728 0.7272 0.3852  1 Cu 2.32, 1 Mg 2.54
S 0.4499 0.5501 0.7500  2 Cu 2.29
S 0.5501 0.4499 0.2500  2 Cu 2.29
S 0.7272 0.2728 0.6148  1 Cu 2.32, 1 Mg 2.54
S 0.7272 0.2728 0.8852  1 Cu 2.32, 1 Mg 2.54

- energy relative to the elements, uncorrected (eV per atom) = -1.362
- total DFT energy (no corrections) (eV per atom) = -4.9336

Among the records above, which one has the highest total DFT energy (no corrections)? Pr2Mg6Cu3

total DFT energy (no corrections) of number 6 (Pr4MgCu2)? -4.0740 eV per atom

Which of these has the lowest total DFT energy (no corrections)? Pr2MgCu2Pt5